1.
Entry from the Alexandria database: a geometry-optimized PrEr2Pu structure (PBE).

```
PrEr2Pu
1.0
4.990 0.000 0.000
0.000 4.990 0.000
0.000 0.000 4.994
Pr Er Pu
1 2 1
Direct
0.000 0.000 0.000 Pr
0.000 0.500 0.500 Er
0.500 0.000 0.500 Er
0.500 0.500 0.000 Pu
```

Energy above the most stable polymorph in this dataset: 4.4 kJ/mol of atoms
Energy relative to the elements: 146 meV/atom
DOS at the Fermi energy: 16.1 states/eV/f.u.

***

2.
Entry from the Alexandria database: a geometry-optimized Pr8Er3Pu structure (PBE).

```
Pr8Er3Pu
1.0
3.539 -6.000 0.000
3.539 6.000 0.000
-2.447 0.000 9.604
Pr Er Pu
8 3 1
Direct
0.175 0.694 0.665 Pr
0.183 0.183 0.161 Pr
0.306 0.825 0.335 Pr
0.322 0.322 0.824 Pr
0.678 0.678 0.176 Pr
0.694 0.175 0.665 Pr
0.817 0.817 0.839 Pr
0.825 0.306 0.335 Pr
0.000 0.500 0.000 Er
0.500 0.000 0.000 Er
0.500 0.500 0.500 Er
0.000 0.000 0.500 Pu
```

Energy relative to the elements: 136 meV/atom
DOS at the Fermi energy: 25.2 states/eV/f.u.

***

3.
Entry from the Alexandria database: a geometry-optimized Pr7Er4Pu structure (PBE).

```
Pr7Er4Pu
1.0
9.308 -2.724 0.000
9.308 2.724 0.000
-2.128 0.000 7.838
Pr Er Pu
7 4 1
Direct
0.000 0.000 0.000 Pr
0.181 0.181 0.906 Pr
0.356 0.356 0.797 Pr
0.450 0.450 0.285 Pr
0.550 0.550 0.715 Pr
0.644 0.644 0.203 Pr
0.819 0.819 0.094 Pr
0.093 0.093 0.454 Er
0.270 0.270 0.365 Er
0.730 0.730 0.635 Er
0.907 0.907 0.546 Er
0.500 0.500 0.000 Pu
```

Energy relative to the elements: 333 meV/atom
DOS at the Fermi energy: 23.7 states/eV/f.u.

***

4.
Entry from the Alexandria database: a geometry-optimized Pr3Er4Pu structure (PBE).

```
Pr3Er4Pu
1.0
-1.725 5.833 6.465
1.725 -5.833 6.465
1.725 5.833 -6.465
Pr Er Pu
3 4 1
Direct
0.000 0.000 0.000 Pr
0.265 0.765 0.500 Pr
0.735 0.235 0.500 Pr
0.120 0.368 0.752 Er
0.385 0.632 0.752 Er
0.615 0.368 0.248 Er
0.880 0.632 0.248 Er
0.500 0.500 0.000 Pu
```

Energy relative to the elements: 158 meV/atom
DOS at the Fermi energy: 15.5 states/eV/f.u.

***

5.
Entry from the Alexandria database: a geometry-optimized PrEr14Pu structure (PBE).

```
PrEr14Pu
1.0
7.031 0.000 0.000
0.000 7.031 0.000
0.000 0.000 9.905
Pr Er Pu
1 14 1
Direct
0.000 0.000 0.000 Pr
0.000 0.000 0.500 Er
0.000 0.500 0.000 Er
0.000 0.500 0.500 Er
0.253 0.253 0.250 Er
0.253 0.253 0.750 Er
0.253 0.747 0.250 Er
0.253 0.747 0.750 Er
0.500 0.000 0.000 Er
0.500 0.000 0.500 Er
0.500 0.500 0.500 Er
0.747 0.253 0.250 Er
0.747 0.253 0.750 Er
0.747 0.747 0.250 Er
0.747 0.747 0.750 Er
0.500 0.500 0.000 Pu
```

Energy relative to the elements: 42 meV/atom
DOS at the Fermi energy: 27.1 states/eV/f.u.

***

6.
Entry from the Alexandria database: a geometry-optimized Pr2ErPu structure (PBE).

```
Pr2ErPu
1.0
5.087 0.000 0.000
0.000 5.087 0.000
0.000 0.000 5.012
Pr Er Pu
2 1 1
Direct
0.000 0.500 0.000 Pr
0.500 0.000 0.000 Pr
0.000 0.000 0.500 Er
0.500 0.500 0.500 Pu
```

Energy above the most stable polymorph in this dataset: 3.2 kJ/mol of atoms
Energy relative to the elements: 153 meV/atom
DOS at the Fermi energy: 15.8 states/eV/f.u.

***

7.
Entry from the Alexandria database: a geometry-optimized PrEr2Pu structure (PBE).

```
PrEr2Pu
1.0
0.000 3.978 3.978
3.978 0.000 3.978
3.978 3.978 0.000
Pr Er Pu
1 2 1
Direct
0.000 0.000 0.000 Pr
0.250 0.250 0.250 Er
0.750 0.750 0.750 Er
0.500 0.500 0.500 Pu
```

Energy above the most stable polymorph in this dataset: 10.2 kJ/mol of atoms
Energy relative to the elements: 206 meV/atom
DOS at the Fermi energy: 11.5 states/eV/f.u.

***

8.
Entry from the Alexandria database: a geometry-optimized Pr2ErPu structure (PBE).

```
Pr2ErPu
1.0
1.806 1.043 11.620
-1.806 1.043 11.620
0.000 -2.085 11.620
Pr Er Pu
2 1 1
Direct
0.000 0.000 0.000 Pr
0.168 0.168 0.168 Pr
0.417 0.417 0.417 Er
0.584 0.584 0.584 Pu
```

Energy above the most stable polymorph in this dataset: 1.1 kJ/mol of atoms
Energy relative to the elements: 131 meV/atom
DOS at the Fermi energy: 11.8 states/eV/f.u.

***

The records above yield total DFT energy (no corrections) values of -6.91, -5.39, -5.17, -5.71, -5.14, -6.96, -6.85, -6.98 eV per atom, respectively.